# AcZnNi | OQMD via LeMat-Bulk | PBE | relaxed
data_AcZnNi
_chemical_formula_sum 'Ac4 Zn4 Ni4'
_symmetry_space_group_name_H-M 'F -4 3 m'
_symmetry_Int_Tables_number 216
_symmetry_space_group_name_Hall 'F -4 2 3'
_cell_length_a 6.645
_cell_length_b 6.645
_cell_length_c 6.645
_cell_angle_alpha 90.00
_cell_angle_beta 90.00
_cell_angle_gamma 90.00
loop_
_atom_site_label
_atom_site_type_symbol
_atom_site_fract_x
_atom_site_fract_y
_atom_site_fract_z
_atom_site_occupancy
Ac1 Ac 0.000 0.000 0.000 1
Zn1 Zn 0.000 0.000 0.500 1
Ni1 Ni 0.250 0.250 0.250 1
# **Crystal system**: cubic
# **Energy**: -0.140 hartree per atom
# **Total moment**: 0.02 μB/cell
# **Excess energy over the best structure of this formula in the dataset**: 0.1774 eV per atom